An optimized crystal structure of MnAgAu2. Source: Alexandria via LeMat-Bulk, functional GGA-PBE.

Summary:
The calculated density is 12.2 g/cm3. For the total moment, the calculation gives 8.9 Bohr magnetons per cell. As for the formation energy: 0.244 eV per atom. Its density of states at the Fermi level is 3.790 states/eV per cell.

Cell lengths 3.954, 3.954, 10.103 Å; angles 78.72, 78.72, 90.00 degrees
Last column: magnetic moment on the atom in μB.
Element x y z (fractional)
Mn 0.500 0.500 0.000  -4.10
Mn 0.250 0.750 0.500  -4.11
Au 0.623 0.125 0.250  -0.04
Au 0.127 0.625 0.250  -0.04
Au 0.375 0.377 0.750  -0.05
Au 0.875 0.873 0.750  -0.05
Ag 0.000 0.000 0.000  -0.03
Ag 0.750 0.250 0.500  -0.03

***

An optimized crystal structure of ZnAg2Ru. Source: Alexandria via LeMat-Bulk, functional GGA-PBE.

Summary:
The calculated density is 9.9 g/cm3. For the total moment, the calculation gives 0.5 Bohr magnetons per cell. As for the formation energy: 0.223 eV per atom. Its density of states at the Fermi level is 3.024 states/eV per cell.

Cell lengths 2.762, 2.762, 9.320 Å; angles 90.00, 90.00, 115.63 degrees
Last column: magnetic moment on the atom in μB.
Element x y z (fractional)
Ag 0.000 0.000 0.988  0.00
Ag 0.500 0.500 0.256  0.01
Ru 0.000 0.000 0.515  0.52
Zn 0.500 0.500 0.741  0.00

***

An optimized crystal structure of SmSnPtRh. Source: Alexandria via LeMat-Bulk, functional GGA-PBE.

Summary:
The calculated density is 11.9 g/cm3. For the total moment, the calculation gives 0.0 Bohr magnetons per cell. As for the formation energy: -0.739 eV per atom. Its density of states at the Fermi level is 3.127 states/eV per cell.

Cell lengths 4.819, 4.819, 4.819 Å; angles 60.00, 60.00, 60.00 degrees
Element x y z (fractional)
Rh 0.250 0.250 0.250
Sm 0.500 0.500 0.500
Pt 0.750 0.750 0.750
Sn 0.000 0.000 0.000

***

An optimized crystal structure of TiAlGeAu2. Source: Alexandria via LeMat-Bulk, functional GGA-PBE.

Summary:
The calculated density is 8.1 g/cm3. The excess energy over the best structure of this formula in the dataset comes out at 0.00 eV/f.u. For the total moment, the calculation gives 0.0 Bohr magnetons per cell. As for the formation energy: 0.417 eV per atom. Its density of states at the Fermi level is 3.430 states/eV per cell.

Cell lengths 4.779, 4.847, 4.779 Å; angles 90.00, 90.00, 90.00 degrees
Element x y z (fractional)
Ge 0.000 0.000 0.000
Au 0.000 0.000 0.500
Au 0.500 0.000 0.000
Al 0.500 0.500 0.500
Ti 0.000 0.500 0.000

***

An optimized crystal structure of TaHg2As. Source: Alexandria via LeMat-Bulk, functional GGA-PBE.

Summary:
The calculated density is 13.6 g/cm3. For the total moment, the calculation gives 0.0 Bohr magnetons per cell. As for the formation energy: 0.445 eV per atom. Its density of states at the Fermi level is 1.966 states/eV per cell.

Cell lengths 5.235, 2.943, 5.397 Å; angles 75.36, 90.00, 90.00 degrees
Element x y z (fractional)
As 0.500 0.750 0.750
Hg 0.000 0.902 0.994
Hg 0.000 0.598 0.506
Ta 0.500 0.250 0.250

***

An optimized crystal structure of Gd2InIr. Source: Alexandria via LeMat-Bulk, functional GGA-PBE.

Summary:
The calculated density is 10.7 g/cm3. The excess energy over the best structure of this formula in the dataset comes out at 0.00 eV/f.u. For the total moment, the calculation gives 14.0 Bohr magnetons per cell. As for the formation energy: -0.635 eV per atom. Its density of states at the Fermi level is 2.425 states/eV per cell.

Cell lengths 3.557, 3.557, 7.627 Å; angles 90.00, 90.00, 90.00 degrees
Last column: magnetic moment on the atom in μB.
Element x y z (fractional)
Gd 0.000 0.000 0.715  -6.98
Gd 0.000 0.000 0.285  -6.98
Ir 0.500 0.500 0.500  0.11
In 0.500 0.500 0.000  0.02